No. 1
A plane-wave DFT calculation with PBE was carried out for crystalline Ba2Os2I at its relaxed geometry.

```
data_Ba2Os2I
_chemical_formula_sum 'Ba2 Os2 I1'
_cell_length_a 6.2285
_cell_length_b 6.2285
_cell_length_c 6.0607
_cell_angle_alpha 59.08
_cell_angle_beta 59.08
_cell_angle_gamma 90.00
_space_group_name_H-M_alt 'P 1'
_space_group_IT_number 1
_space_group_name_Hall 'P 1'
loop_
_atom_site_label
_atom_site_type_symbol
_atom_site_fract_x
_atom_site_fract_y
_atom_site_fract_z
Ba1 Ba 0.2500 0.7500 0.5000
Ba2 Ba 0.7500 0.2500 0.5000
I1 I 0.0000 0.0000 0.0000
Os1 Os 0.6378 0.6378 0.7244
Os2 Os 0.3622 0.3622 0.2756
```

- ρ (g cm⁻³) = 8.04
- raw formation energy (eV/f.u.) = 2.81
- D(E_F) (states/eV/cell) = 5.66
- crystal system = tetragonal



No. 2
A plane-wave DFT calculation with PBE was carried out for crystalline BaOs3I at its relaxed geometry.

```
data_BaOs3I
_chemical_formula_sum 'Ba1 Os3 I1'
_cell_length_a 4.9661
_cell_length_b 4.9661
_cell_length_c 4.9661
_cell_angle_alpha 90.00
_cell_angle_beta 90.00
_cell_angle_gamma 90.00
_space_group_name_H-M_alt 'P 1'
_space_group_IT_number 1
_space_group_name_Hall 'P 1'
loop_
_atom_site_label
_atom_site_type_symbol
_atom_site_fract_x
_atom_site_fract_y
_atom_site_fract_z
I1 I 0.0000 0.0000 0.0000
Os1 Os 0.5000 0.0000 0.0000
Os2 Os 0.0000 0.5000 0.0000
Os3 Os 0.0000 0.0000 0.5000
Ba1 Ba 0.5000 0.5000 0.5000
```

- ρ (g cm⁻³) = 11.32
- raw formation energy (eV/f.u.) = 10.43
- D(E_F) (states/eV/cell) = 5.42
- crystal system = cubic



No. 3
A plane-wave DFT calculation with PBE was carried out for crystalline Ba2OsI at its relaxed geometry.

```
data_Ba2OsI
_chemical_formula_sum 'Ba2 Os1 I1'
_cell_length_a 5.7638
_cell_length_b 5.7638
_cell_length_c 5.7638
_cell_angle_alpha 60.00
_cell_angle_beta 60.00
_cell_angle_gamma 60.00
_space_group_name_H-M_alt 'P 1'
_space_group_IT_number 1
_space_group_name_Hall 'P 1'
loop_
_atom_site_label
_atom_site_type_symbol
_atom_site_fract_x
_atom_site_fract_y
_atom_site_fract_z
Ba1 Ba 0.7500 0.7500 0.7500
Ba2 Ba 0.2500 0.2500 0.2500
I1 I 0.0000 0.0000 0.0000
Os1 Os 0.5000 0.5000 0.5000
```

- ρ (g cm⁻³) = 7.26
- raw formation energy (eV/f.u.) = 0.69
- D(E_F) (states/eV/cell) = 3.26
- crystal system = cubic



No. 4
A plane-wave DFT calculation with PBE was carried out for crystalline BaOsI3 at its relaxed geometry.

```
data_BaOsI3
_chemical_formula_sum 'Ba1 Os1 I3'
_cell_length_a 6.6998
_cell_length_b 6.6998
_cell_length_c 6.6998
_cell_angle_alpha 90.00
_cell_angle_beta 90.00
_cell_angle_gamma 90.00
_space_group_name_H-M_alt 'P 1'
_space_group_IT_number 1
_space_group_name_Hall 'P 1'
loop_
_atom_site_label
_atom_site_type_symbol
_atom_site_fract_x
_atom_site_fract_y
_atom_site_fract_z
Os1 Os 0.5000 0.5000 0.5000
I1 I 0.5000 0.0000 0.0000
I2 I 0.0000 0.0000 0.5000
I3 I 0.0000 0.5000 0.0000
Ba1 Ba 0.0000 0.0000 0.0000
```

- ρ (g cm⁻³) = 3.91
- raw formation energy (eV/f.u.) = 3.26
- D(E_F) (states/eV/cell) = 36.46
- crystal system = cubic



No. 5
A plane-wave DFT calculation with PBE was carried out for crystalline BaOs3I at its relaxed geometry.

```
data_BaOs3I
_chemical_formula_sum 'Ba1 Os3 I1'
_cell_length_a 5.2918
_cell_length_b 5.2918
_cell_length_c 5.2918
_cell_angle_alpha 90.00
_cell_angle_beta 90.00
_cell_angle_gamma 90.00
_space_group_name_H-M_alt 'P 1'
_space_group_IT_number 1
_space_group_name_Hall 'P 1'
loop_
_atom_site_label
_atom_site_type_symbol
_atom_site_fract_x
_atom_site_fract_y
_atom_site_fract_z
Os1 Os 0.5000 0.0000 0.0000
Os2 Os 0.0000 0.0000 0.5000
Os3 Os 0.0000 0.5000 0.0000
Ba1 Ba 0.0000 0.0000 0.0000
I1 I 0.5000 0.5000 0.5000
```

- ρ (g cm⁻³) = 9.36
- raw formation energy (eV/f.u.) = 18.31
- D(E_F) (states/eV/cell) = 6.97
- crystal system = cubic



No. 6
A plane-wave DFT calculation with PBE was carried out for crystalline BaSbOsI2 at its relaxed geometry.

```
data_BaSbOsI2
_chemical_formula_sum 'Ba1 Sb1 Os1 I2'
_cell_length_a 5.7655
_cell_length_b 5.7655
_cell_length_c 5.0394
_cell_angle_alpha 90.00
_cell_angle_beta 90.00
_cell_angle_gamma 90.00
_space_group_name_H-M_alt 'P 1'
_space_group_IT_number 1
_space_group_name_Hall 'P 1'
loop_
_atom_site_label
_atom_site_type_symbol
_atom_site_fract_x
_atom_site_fract_y
_atom_site_fract_z
I1 I 0.0000 0.5000 0.0000
I2 I 0.5000 0.0000 0.0000
Ba1 Ba 0.5000 0.5000 0.5000
Os1 Os 0.0000 0.0000 0.0000
Sb1 Sb 0.0000 0.0000 0.5000
```

- ρ (g cm⁻³) = 6.97
- raw formation energy (eV/f.u.) = -0.71
- D(E_F) (states/eV/cell) = 2.04
- crystal system = tetragonal



No. 7
A plane-wave DFT calculation with PBE was carried out for crystalline BaSbOsI2 at its relaxed geometry.

```
data_BaSbOsI2
_chemical_formula_sum 'Ba1 Sb1 Os1 I2'
_cell_length_a 6.7042
_cell_length_b 6.7042
_cell_length_c 7.0292
_cell_angle_alpha 90.00
_cell_angle_beta 90.00
_cell_angle_gamma 90.00
_space_group_name_H-M_alt 'P 1'
_space_group_IT_number 1
_space_group_name_Hall 'P 1'
loop_
_atom_site_label
_atom_site_type_symbol
_atom_site_fract_x
_atom_site_fract_y
_atom_site_fract_z
I1 I 0.0000 0.5000 0.0000
I2 I 0.5000 0.0000 0.0000
Sb1 Sb 0.0000 0.0000 0.5000
Os1 Os 0.5000 0.5000 0.5000
Ba1 Ba 0.0000 0.0000 0.0000
```

- ρ (g cm⁻³) = 3.70
- raw formation energy (eV/f.u.) = 6.06
- D(E_F) (states/eV/cell) = 7.43
- crystal system = tetragonal



No. 8
A plane-wave DFT calculation with PBE was carried out for crystalline Ba2OsSeI at its relaxed geometry.

```
data_Ba2OsSeI
_chemical_formula_sum 'Ba2 Os1 Se1 I1'
_cell_length_a 6.1266
_cell_length_b 4.9526
_cell_length_c 6.1266
_cell_angle_alpha 90.00
_cell_angle_beta 90.00
_cell_angle_gamma 90.00
_space_group_name_H-M_alt 'P 1'
_space_group_IT_number 1
_space_group_name_Hall 'P 1'
loop_
_atom_site_label
_atom_site_type_symbol
_atom_site_fract_x
_atom_site_fract_y
_atom_site_fract_z
I1 I 0.0000 0.5000 0.0000
Ba1 Ba 0.5000 0.0000 0.0000
Ba2 Ba 0.0000 0.0000 0.5000
Se1 Se 0.5000 0.5000 0.5000
Os1 Os 0.0000 0.0000 0.0000
```

- ρ (g cm⁻³) = 5.99
- raw formation energy (eV/f.u.) = -1.39
- D(E_F) (states/eV/cell) = 2.83
- crystal system = tetragonal



No. 9
A plane-wave DFT calculation with PBE was carried out for crystalline Ba2OsSeI at its relaxed geometry.

```
data_Ba2OsSeI
_chemical_formula_sum 'Ba2 Os1 Se1 I1'
_cell_length_a 6.2557
_cell_length_b 4.6689
_cell_length_c 6.2557
_cell_angle_alpha 90.00
_cell_angle_beta 90.00
_cell_angle_gamma 90.00
_space_group_name_H-M_alt 'P 1'
_space_group_IT_number 1
_space_group_name_Hall 'P 1'
loop_
_atom_site_label
_atom_site_type_symbol
_atom_site_fract_x
_atom_site_fract_y
_atom_site_fract_z
Ba1 Ba 0.0000 0.0000 0.5000
Ba2 Ba 0.5000 0.0000 0.0000
Se1 Se 0.0000 0.5000 0.0000
Os1 Os 0.0000 0.0000 0.0000
I1 I 0.5000 0.5000 0.5000
```

- ρ (g cm⁻³) = 6.10
- raw formation energy (eV/f.u.) = -3.22
- D(E_F) (states/eV/cell) = 1.70
- crystal system = tetragonal



No. 10
A plane-wave DFT calculation with PBE was carried out for crystalline BaTe2OsI at its relaxed geometry.

```
data_BaTe2OsI
_chemical_formula_sum 'Ba1 Te2 Os1 I1'
_cell_length_a 6.7328
_cell_length_b 6.7328
_cell_length_c 6.5846
_cell_angle_alpha 90.00
_cell_angle_beta 90.00
_cell_angle_gamma 90.00
_space_group_name_H-M_alt 'P 1'
_space_group_IT_number 1
_space_group_name_Hall 'P 1'
loop_
_atom_site_label
_atom_site_type_symbol
_atom_site_fract_x
_atom_site_fract_y
_atom_site_fract_z
Os1 Os 0.5000 0.5000 0.5000
Te1 Te 0.5000 0.0000 0.0000
Te2 Te 0.0000 0.5000 0.0000
Ba1 Ba 0.0000 0.0000 0.0000
I1 I 0.0000 0.0000 0.5000
```

- ρ (g cm⁻³) = 3.95
- raw formation energy (eV/f.u.) = 6.64
- D(E_F) (states/eV/cell) = 8.38
- crystal system = tetragonal



No. 11
A plane-wave DFT calculation with PBE was carried out for crystalline BaTeOsI2 at its relaxed geometry.

```
data_BaTeOsI2
_chemical_formula_sum 'Ba1 Te1 Os1 I2'
_cell_length_a 5.6263
_cell_length_b 5.6263
_cell_length_c 5.2143
_cell_angle_alpha 90.00
_cell_angle_beta 90.00
_cell_angle_gamma 90.00
_space_group_name_H-M_alt 'P 1'
_space_group_IT_number 1
_space_group_name_Hall 'P 1'
loop_
_atom_site_label
_atom_site_type_symbol
_atom_site_fract_x
_atom_site_fract_y
_atom_site_fract_z
Te1 Te 0.0000 0.0000 0.5000
I1 I 0.0000 0.5000 0.0000
I2 I 0.5000 0.0000 0.0000
Ba1 Ba 0.5000 0.5000 0.5000
Os1 Os 0.0000 0.0000 0.0000
```

- ρ (g cm⁻³) = 7.13
- raw formation energy (eV/f.u.) = -1.22
- D(E_F) (states/eV/cell) = 3.42
- crystal system = tetragonal



No. 12
A plane-wave DFT calculation with PBE was carried out for crystalline BaTe2OsI at its relaxed geometry.

```
data_BaTe2OsI
_chemical_formula_sum 'Ba1 Te2 Os1 I1'
_cell_length_a 5.3340
_cell_length_b 5.3340
_cell_length_c 5.6991
_cell_angle_alpha 90.00
_cell_angle_beta 90.00
_cell_angle_gamma 90.00
_space_group_name_H-M_alt 'P 1'
_space_group_IT_number 1
_space_group_name_Hall 'P 1'
loop_
_atom_site_label
_atom_site_type_symbol
_atom_site_fract_x
_atom_site_fract_y
_atom_site_fract_z
I1 I 0.0000 0.0000 0.5000
Te1 Te 0.5000 0.0000 0.0000
Te2 Te 0.0000 0.5000 0.0000
Os1 Os 0.0000 0.0000 0.0000
Ba1 Ba 0.5000 0.5000 0.5000
```

- ρ (g cm⁻³) = 7.27
- raw formation energy (eV/f.u.) = -1.06
- D(E_F) (states/eV/cell) = 6.17
- crystal system = tetragonal



Among the records above, which one has the lowest D(E_F)? number 9